1.
# Ir2AuSe PBE relaxed
# ΔE_f (raw)   0.60 eV/atom
# ρ   16.95 g/cm³
data_Ir2AuSe
_symmetry_space_group_name_H-M 'C m m m'
_symmetry_Int_Tables_number 65
_symmetry_space_group_name_Hall '-C 2 2'
_cell_length_a 5.944
_cell_length_b 7.364
_cell_length_c 2.955
_cell_angle_alpha 90.00
_cell_angle_beta 90.00
_cell_angle_gamma 90.00
loop_
_atom_site_label
_atom_site_fract_x
_atom_site_fract_y
_atom_site_fract_z
Ir1 0.250 0.250 0.000
Au1 0.000 0.000 0.500
Se1 0.000 0.500 0.500

2.
# PmHo6Th2 PBE relaxed
# Formation energy   0.1781 eV/atom
# Relative energy among the computed polymorphs   102 meV/atom
# ρ   9.13 g/cm³
data_PmHo6Th2
_symmetry_space_group_name_H-M 'C 1 2/c 1'
_symmetry_Int_Tables_number 15
_symmetry_space_group_name_Hall '-C 2yc'
_cell_length_a 14.047
_cell_length_b 12.763
_cell_length_c 6.715
_cell_angle_alpha 90.00
_cell_angle_beta 105.01
_cell_angle_gamma 90.00
loop_
_atom_site_label
_atom_site_fract_x
_atom_site_fract_y
_atom_site_fract_z
Pm1 0.000 0.138 0.250
Ho1 0.001 0.351 0.986
Ho2 0.118 0.089 0.789
Ho3 0.235 0.210 0.249
Th1 0.175 0.476 0.367